TbPrTm2Au4: relaxed, GGA-PBE.

Cell lengths 5.0883, 5.0883, 8.9830 Å; angles 73.55, 73.55, 60.00 degrees
Atoms (fractional coordinates):
Tb1 0.5000 0.5000 0.5000
Au1 0.1279 0.1279 0.6164
Au2 0.8721 0.8721 0.3836
Au3 0.6185 0.6185 0.1444
Au4 0.3815 0.3815 0.8556
Tm1 0.7515 0.7515 0.7455
Tm2 0.2485 0.2485 0.2545
Pr1 0.0000 0.0000 0.0000

Computed properties:
symmetry = R-3m
crystal system = trigonal
energy of formation = -0.8324 eV per atom